Entry 1:
DFT (PBE) results for a relaxed structure of HfBeN2O.

Lattice parameters (Å, degrees): 3.3279 3.3279 3.8456 90.00 90.00 90.00
Space group P4/mmm (No. 123)
Unique sites:
Hf 0.0000 0.0000 0.0000
Be 0.5000 0.5000 0.5000
N 0.0000 0.5000 0.5000
O 0.5000 0.5000 0.0000

Results
As for the energy relative to the elements, uncorrected: -0.72 eV/atom.

Entry 2:
DFT (PBE) results for a relaxed structure of TbMgSnAu.

Lattice parameters (Å, degrees): 7.1739 7.1739 7.1739 90.00 90.00 90.00
Space group F-43m (No. 216)
Unique sites:
Tb 0.0000 0.0000 0.0000
Mg 0.0000 0.0000 0.5000
Sn 0.2500 0.2500 0.7500
Au 0.2500 0.2500 0.2500

Results
As for the energy relative to the elements: -0.60 eV per atom.

Entry 3:
DFT (PBE) results for a relaxed structure of Tb3Ho2TmS6.

Lattice parameters (Å, degrees): 6.7306 11.7080 6.7601 90.00 109.43 90.00
Space group C2/m (No. 12)
Unique sites:
Tb 0.0000 0.0000 0.0000
Tb 0.0000 0.3319 0.0000
Ho 0.0000 0.1668 0.5000
Tm 0.0000 0.5000 0.5000
S 0.2467 0.3346 0.7442
S 0.2490 0.5000 0.2548

Results
As for the energy relative to the elements, uncorrected: -1.99 eV/atom.

Entry 4:
DFT (PBE) results for a relaxed structure of Li2CaYTe.

Lattice parameters (Å, degrees): 5.3605 5.3605 6.5283 90.00 90.00 90.00
Space group P4/mmm (No. 123)
Unique sites:
Li 0.0000 0.5000 0.0000
Ca 0.0000 0.0000 0.5000
Y 0.0000 0.0000 0.0000
Te 0.5000 0.5000 0.5000

Results
As for the energy relative to the elements, uncorrected: 0.72 eV/atom.

Entry 5:
DFT (PBE) results for a relaxed structure of ZnTePd3.

Lattice parameters (Å, degrees): 4.9514 4.9514 4.9514 90.00 90.00 90.00
Space group Pm-3m (No. 221)
Unique sites:
Zn 0.0000 0.0000 0.0000
Te 0.5000 0.5000 0.5000
Pd 0.0000 0.5000 0.5000

Results
The distance to the lowest polymorph of the same formula comes out at 744 meV per atom. As for the energy relative to the elements, uncorrected: 0.40 eV/atom.

Entry 6:
DFT (PBE) results for a relaxed structure of Ce4TeC2.

Lattice parameters (Å, degrees): 8.6892 8.6892 8.8228 90.00 90.00 90.00
Space group I4_1/amd (No. 141, origin choice 2)
Unique sites:
Ce 0.0000 0.0912 0.2196
Te 0.0000 0.2500 0.8750
C 0.0000 0.0000 0.5000

Results
As for the energy relative to the elements, uncorrected: -0.37 eV/atom.

Entry 7:
DFT (PBE) results for a relaxed structure of LaSc2Ni.

Lattice parameters (Å, degrees): 5.0727 5.0727 7.0311 90.00 90.00 90.00
Space group I-4m2 (No. 119)
Unique sites:
La 0.0000 0.0000 0.0000
Sc 0.0000 0.0000 0.5000
Sc 0.0000 0.5000 0.7500
Ni 0.0000 0.5000 0.2500

Results
The distance to the lowest polymorph of the same formula comes out at 328 meV per atom. As for the energy relative to the elements: 0.13 eV per atom.

Entry 8:
DFT (PBE) results for a relaxed structure of KTe4Au.

Lattice parameters (Å, degrees): 11.2073 7.8427 10.2858 90.00 95.36 90.00
Space group C2/c (No. 15)
Unique sites:
K 0.0000 0.0816 0.2500
Te 0.1336 0.4599 0.4552
Te 0.1842 0.2870 0.6986
Au 0.2500 0.2500 0.0000

Results
The distance to the lowest polymorph of the same formula comes out at 61 meV per atom. As for the energy relative to the elements, uncorrected: -0.22 eV/atom.

Entry 9:
DFT (PBE) results for a relaxed structure of LiMnZn.

Lattice parameters (Å, degrees): 3.1475 3.1475 8.8022 90.00 90.00 90.00
Space group I4mm (No. 107)
Unique sites:
Li 0.0000 0.0000 0.0000
Mn 0.0000 0.0000 0.3238
Zn 0.0000 0.0000 0.6608

Results
The distance to the lowest polymorph of the same formula comes out at 51 meV per atom. As for the energy relative to the elements: 0.15 eV per atom.

Entry 10:
DFT (PBE) results for a relaxed structure of IrPt4W.

Lattice parameters (Å, degrees): 7.2991 7.2991 7.2991 90.00 90.00 90.00
Space group F-43m (No. 216)
Unique sites:
Ir 0.0000 0.0000 0.0000
Pt 0.1250 0.1250 0.6250
W 0.2500 0.2500 0.2500

Results
As for the energy relative to the elements: 0.35 eV per atom.

Entry 11:
DFT (PBE) results for a relaxed structure of GaFeRh3.

Lattice parameters (Å, degrees): 4.4351 4.4351 4.4351 90.00 90.00 90.00
Space group Pm-3m (No. 221)
Unique sites:
Ga 0.0000 0.0000 0.0000
Fe 0.5000 0.5000 0.5000
Rh 0.0000 0.5000 0.5000

Results
The distance to the lowest polymorph of the same formula comes out at 0 meV per atom. As for the energy relative to the elements: 0.87 eV per atom.

Entry 12:
DFT (PBE) results for a relaxed structure of CdTc2TeAs.

Lattice parameters (Å, degrees): 4.9441 4.9441 5.3056 90.00 90.00 90.00
Space group P4/mmm (No. 123)
Unique sites:
Cd 0.0000 0.0000 0.0000
Tc 0.0000 0.5000 0.5000
Te 0.5000 0.5000 0.5000
As 0.5000 0.5000 0.0000

Results
As for the energy relative to the elements, uncorrected: 1.52 eV/atom.